Entry from Alexandria: Dy2ScAu after structural relaxation (GGA-PBE).

Values from the calculation:
- Energy of formation from the pure elements: -299 meV/atom
- Fermi-level density of states: 5.7 states/eV/f.u.
- Distance to the lowest polymorph of the same formula: 0.0790 eV per atom
- Raw total energy: -5.003 eV per atom

Lattice parameters (Å, degrees): 5.1839 5.1839 3.6980 90.00 90.00 90.00
Positions (direct):
Dy (0.0000, 0.5000, 0.0000)
Dy (0.5000, 0.0000, 0.0000)
Sc (0.0000, 0.0000, 0.5000)
Au (0.5000, 0.5000, 0.5000)


Entry from Alexandria: Ba2HgPPt after structural relaxation (GGA-PBE).

Values from the calculation:
- Energy of formation from the pure elements: -629 meV/atom
- Fermi-level density of states: 4.1 states/eV/f.u.
- Distance to the lowest polymorph of the same formula: 0.0427 eV per atom
- Raw total energy: -3.749 eV per atom

Lattice parameters (Å, degrees): 6.2690 6.2690 4.4844 90.00 90.00 90.00
Positions (direct):
Ba (0.0000, 0.5000, 0.0000)
Ba (0.5000, 0.0000, 0.0000)
Hg (0.0000, 0.0000, 0.5000)
P (0.5000, 0.5000, 0.5000)
Pt (0.5000, 0.5000, 0.0000)


Entry from Alexandria: HoCdCuNi after structural relaxation (GGA-PBE).

Values from the calculation:
- Energy of formation from the pure elements: -214 meV/atom
- Fermi-level density of states: 3.0 states/eV/f.u.
- Raw total energy: -4.057 eV per atom

Lattice parameters (Å, degrees): 4.6377 4.6377 4.6377 60.00 60.00 60.00
Positions (direct):
Ho (0.0000, 0.0000, 0.0000)
Cd (0.5000, 0.5000, 0.5000)
Cu (0.2500, 0.2500, 0.2500)
Ni (0.7500, 0.7500, 0.7500)


Entry from Alexandria: ScTcBSe2 after structural relaxation (GGA-PBE).

Values from the calculation:
- Formation energy from raw total energies: 0.898 eV per atom
- Fermi-level density of states: 6.2 states/eV/f.u.
- Raw total energy: -5.171 eV per atom

Lattice parameters (Å, degrees): 4.7516 4.7516 5.0514 90.00 90.00 90.00
Positions (direct):
Sc (0.0000, 0.0000, 0.0000)
Tc (0.0000, 0.0000, 0.5000)
B (0.5000, 0.5000, 0.0000)
Se (0.0000, 0.5000, 0.5000)
Se (0.5000, 0.0000, 0.5000)


Entry from Alexandria: CaLa3Pb after structural relaxation (GGA-PBE).

Values from the calculation:
- Energy of formation from the pure elements: 610 meV/atom
- Fermi-level density of states: 4.8 states/eV/f.u.
- Distance to the lowest polymorph of the same formula: 0.4598 eV per atom
- Raw total energy: -3.488 eV per atom

Lattice parameters (Å, degrees): 5.7606 5.7606 5.7606 90.00 90.00 90.00
Positions (direct):
Ca (0.0000, 0.0000, 0.0000)
La (0.0000, 0.0000, 0.5000)
La (0.0000, 0.5000, 0.0000)
La (0.5000, 0.0000, 0.0000)
Pb (0.5000, 0.5000, 0.5000)


Entry from Alexandria: Na2TcRhO6 after structural relaxation (GGA-PBE).

Values from the calculation:
- Formation energy from raw total energies: -1.208 eV per atom
- Fermi-level density of states: 4.9 states/eV/f.u.
- Raw total energy: -6.218 eV per atom

Lattice parameters (Å, degrees): 5.4671 5.4671 3.9920 90.00 90.00 90.00
Positions (direct):
Na (0.0000, 0.5000, 0.0000)
Na (0.5000, 0.0000, 0.0000)
Tc (0.0000, 0.0000, 0.4897)
Rh (0.5000, 0.5000, 0.5313)
O (0.0000, 0.0000, 0.0294)
O (0.2418, 0.2418, 0.5298)
O (0.2418, 0.7582, 0.5298)
O (0.5000, 0.5000, 0.0314)
O (0.7582, 0.2418, 0.5298)
O (0.7582, 0.7582, 0.5298)


Entry from Alexandria: Y2BPdPt6 after structural relaxation (GGA-PBE).

Values from the calculation:
- Energy of formation from the pure elements: -759 meV/atom
- Fermi-level density of states: 6.7 states/eV/f.u.
- Raw total energy: -6.864 eV per atom

Lattice parameters (Å, degrees): 5.5452 5.5500 7.5654 69.00 69.05 60.18
Positions (direct):
Y (0.2123, 0.2108, 0.3712)
Y (0.7877, 0.7892, 0.6288)
B (0.0000, 0.0000, 0.0000)
Pd (0.5000, 0.5000, 0.5000)
Pt (0.2307, 0.2332, 0.8070)
Pt (0.2306, 0.7175, 0.8135)
Pt (0.2847, 0.7679, 0.1856)
Pt (0.7153, 0.2321, 0.8144)
Pt (0.7694, 0.2825, 0.1865)
Pt (0.7693, 0.7668, 0.1930)


Entry from Alexandria: Mg2In2Bi after structural relaxation (GGA-PBE).

Values from the calculation:
- Energy of formation from the pure elements: -50 meV/atom
- Fermi-level density of states: 2.1 states/eV/f.u.
- Distance to the lowest polymorph of the same formula: 0.0000 eV per atom
- Raw total energy: -2.559 eV per atom

Lattice parameters (Å, degrees): 4.5386 5.4584 6.1051 77.52 70.06 66.48
Positions (direct):
Mg (0.0955, 0.0997, 0.2092)
Mg (0.9045, 0.9003, 0.7908)
In (0.3010, 0.2941, 0.5975)
In (0.6990, 0.7059, 0.4025)
Bi (0.5000, 0.5000, 0.0000)